Computed, not measured: crystalline SiPtSe2 at its relaxed geometry at the GGA-PBE level of DFT.

## Properties
Space-group type: P4mm (99)
Uncorrected formation energy, eV per atom: 0.111

a b c (Å): 3.4117 3.4117 6.8862
angles (deg): 90.00 90.00 90.00
Fractional positions:
Se1 0.0000 0.0000 0.9161
Se2 0.5000 0.5000 0.3419
Pt1 0.5000 0.5000 0.7011
Si1 0.0000 0.0000 0.5409

Computed, not measured: crystalline Hg4PtBr2 at its relaxed geometry at the GGA-PBE level of DFT.

## Properties
Space-group type: I4/mmm (139)
Uncorrected formation energy, eV per atom: -0.228

a b c (Å): 5.3312 5.3312 8.7264
angles (deg): 107.79 107.79 90.00
Fractional positions:
Br1 0.3337 0.3337 0.6674
Br2 0.6663 0.6663 0.3326
Hg1 0.0000 0.5000 0.0000
Hg2 0.8331 0.8331 0.6662
Hg3 0.5000 0.0000 0.0000
Hg4 0.1669 0.1669 0.3338
Pt1 0.0000 0.0000 0.0000

Computed, not measured: crystalline AuOF3 at its relaxed geometry at the GGA-PBE level of DFT.

## Properties
Space-group type: Pm-3m (221)
Energy above the lowest structure with this stoichiometry, meV/atom: 650
Uncorrected formation energy, eV per atom: 0.339

a b c (Å): 3.9003 3.9003 3.9003
angles (deg): 90.00 90.00 90.00
Last column: magnetic moment on the atom in μB.
Fractional positions:
O1 0.0000 0.0000 0.0000  -0.05
F1 0.0000 0.0000 0.5000  0.00
F2 0.5000 0.0000 0.0000  -0.01
F3 0.0000 0.5000 0.0000  0.01
Au1 0.5000 0.5000 0.5000  0.10

Computed, not measured: crystalline RbZrNi2Ag at its relaxed geometry at the GGA-PBE level of DFT.

## Properties
Space-group type: P4/mmm (123)
ΔE_f, eV/atom: 1.87

a b c (Å): 4.6241 5.3625 4.6241
angles (deg): 90.00 90.00 90.00
Fractional positions:
Ni1 0.0000 0.0000 0.5000
Ni2 0.5000 0.0000 0.0000
Zr1 0.5000 0.5000 0.5000
Rb1 0.0000 0.0000 0.0000
Ag1 0.0000 0.5000 0.0000

Computed, not measured: crystalline Pu4Mn2Ga at its relaxed geometry at the GGA-PBE level of DFT.

## Properties
Space-group type: I-42d (122)
ΔE_f, eV/atom: 0.10

a b c (Å): 7.2814 7.2814 7.2814
angles (deg): 109.72 108.98 109.72
Last column: magnetic moment on the atom in μB.
Fractional positions:
Pu1 0.5941 0.7371 0.0044  5.31
Pu2 0.9956 0.5897 0.7326  5.31
Pu3 0.6070 0.7629 0.5174  5.31
Pu4 0.2674 0.2629 0.8570  5.31
Pu5 0.4826 0.0897 0.2456  5.31
Pu6 0.7544 0.2371 0.8441  5.31
Pu7 0.1430 0.4103 0.4059  5.31
Pu8 0.1559 0.9103 0.3930  5.31
Mn1 0.5423 0.4173 0.6250  -2.45
Mn2 0.8750 0.0827 0.4577  -2.45
Mn3 0.3750 0.9173 0.7923  -2.45
Mn4 0.2077 0.5827 0.1250  -2.45
Ga1 0.7500 0.5000 0.2500  -0.01
Ga2 0.0000 0.0000 0.0000  -0.01

Number 1: E_tot -4.50 eV/atom. Number 2: E_tot -1.74 eV/atom. Number 3: E_tot -2.43 eV/atom. Number 4: E_tot -2.92 eV/atom. Number 5: E_tot -11.14 eV/atom.